1.
Below is a relaxed LaHfAsSe2 crystal, with properties calculated at the PBE level.

POSCAR file:
```
LaHfAsSe2
1.0
5.100 0.000 0.000
0.000 5.100 0.000
0.000 0.000 5.214
La Hf As Se
1 1 1 2
direct
0.000 0.000 0.000 La
0.500 0.500 0.500 Hf
0.500 0.500 0.000 As
0.000 0.500 0.500 Se
0.500 0.000 0.500 Se
```

Computed properties:
Space-group type: P4/mmm (123)
E_form (uncorrected): -1108 meV per atom
Relative energy among the computed polymorphs: 0 meV/atom



2.
Below is a relaxed SrLi2SiHg crystal, with properties calculated at the PBE level.

POSCAR file:
```
SrLi2SiHg
1.0
6.604 0.000 0.000
0.000 6.604 0.000
0.000 0.000 5.537
Sr Li Si Hg
1 2 1 1
direct
0.000 0.000 0.000 Sr
0.000 0.500 0.000 Li
0.500 0.000 0.000 Li
0.000 0.000 0.500 Si
0.500 0.500 0.500 Hg
```

Computed properties:
Space-group type: P4/mmm (123)
E_form (uncorrected): 923 meV per atom



3.
Below is a relaxed PuSnSb crystal, with properties calculated at the PBE level.

POSCAR file:
```
PuSnSb
1.0
3.868 0.000 0.000
0.000 3.868 0.000
0.000 0.000 10.614
Pu Sn Sb
2 2 2
direct
0.000 0.000 0.000 Pu
0.500 0.500 0.500 Pu
0.000 0.000 0.315 Sn
0.500 0.500 0.815 Sn
0.000 0.000 0.676 Sb
0.500 0.500 0.176 Sb
```

Computed properties:
Space-group type: I4mm (107)
E_form (uncorrected): -281 meV per atom
Relative energy among the computed polymorphs: 172 meV/atom



> Number 1 is which compound?

LaHfAsSe2



> What is the E_form (uncorrected) in the second record?

923 meV per atom



> Which value of E_form (uncorrected) does entry 1 give?

-1108 meV per atom